The following is a PBE calculation of an optimized crystal structure of Tb2TaAl, from the Alexandria database.

The structure belongs to space group R-3m (No. 166, hexagonal axes); the cell edges are 3.1328, 3.1328 and 33.8798 Å and the angles 90.00°, 90.00° and 120.00°. The distinct sites, in fractional coordinates, are Tb at (0.0000, 0.0000, 0.0903), Ta at (0.0000, 0.0000, 0.0000) and Al at (0.0000, 0.0000, 0.5000).

The energy relative to the elements is 0.49 eV/atom. The volume comes out at 23.997 Å³ per atom.

---

The following is a PBE calculation of an optimized crystal structure of TbTaAl2, from the Alexandria database.

The structure belongs to space group P4/mmm (No. 123); the cell edges are 3.5182, 3.5182 and 6.4655 Å and the angles 90.00°, 90.00° and 90.00°. The distinct sites, in fractional coordinates, are Tb at (0.0000, 0.0000, 0.0000), Ta at (0.0000, 0.0000, 0.5000) and Al at (0.5000, 0.5000, 0.2994).

The energy relative to the elements is -0.16 eV/atom. The volume comes out at 20.007 Å³ per atom.

---

The following is a PBE calculation of an optimized crystal structure of TbTaAl4, from the Alexandria database.

The structure belongs to space group F-43m (No. 216); the cell edges are 7.5525, 7.5525 and 7.5525 Å and the angles 90.00°, 90.00° and 90.00°. The distinct sites, in fractional coordinates, are Tb at (0.0000, 0.0000, 0.0000), Ta at (0.2500, 0.2500, 0.2500) and Al at (0.1243, 0.1243, 0.6243).

The energy relative to the elements is -0.30 eV/atom. The volume comes out at 17.950 Å³ per atom.